A relaxed CeZnOs crystal, computed with GGA-PBE. Values from VASP.

```
&SYSTEM
  ibrav = 0, nat = 6, ntyp = 3
/
ATOMIC_SPECIES
Os 190.23 Os.upf
Zn 65.41 Zn.upf
Ce 140.12 Ce.upf
ATOMIC_POSITIONS angstrom
Os 3.299 0.703 2.085
Os 0.253 4.313 0.674
Zn 2.118 3.696 -1.056
Zn 1.434 1.321 3.815
Ce 3.257 3.421 1.975
Ce 0.295 1.595 0.784
CELL_PARAMETERS angstrom
4.408 0.000 -1.657
-0.514 4.877 -1.367
-0.342 0.140 5.783
```

Results
Total magnetic moment in Bohr magnetons per cell: 0.0
Space-group type: C2/m (12)
VASP energy in eV per atom: -6.382
Formation energy from the elements in meV per atom: -237
Volume in Å³ per atom: 20.42

A relaxed CeDy5Y6 crystal, computed with GGA-PBE. Values from VASP.

```
&SYSTEM
  ibrav = 0, nat = 12, ntyp = 3
/
ATOMIC_SPECIES
Dy 162.50 Dy.upf
Y 88.91 Y.upf
Ce 140.12 Ce.upf
ATOMIC_POSITIONS angstrom
Dy -3.056 1.731 -0.598
Dy -9.547 -1.150 2.994
Dy -10.657 -0.607 -0.337
Dy -6.111 3.462 -1.196
Dy -12.605 0.582 2.389
Y -10.881 2.888 0.289
Y -15.444 -1.179 1.146
Y -4.782 -0.568 1.501
Y -14.313 -1.733 4.487
Y -7.818 1.154 0.906
Y -12.382 -2.913 1.764
Ce 0.000 0.000 0.000
CELL_PARAMETERS angstrom
-4.999 2.917 2.142
-4.168 2.276 -3.936
-14.096 -5.218 3.846
```

Results
Total magnetic moment in Bohr magnetons per cell: 1.2
Space-group type: C2/m (12)
VASP energy in eV per atom: -5.605
Formation energy from the elements in meV per atom: 39
Volume in Å³ per atom: 31.90

A relaxed CsTc3Te crystal, computed with GGA-PBE. Values from VASP.

```
&SYSTEM
  ibrav = 0, nat = 5, ntyp = 3
/
ATOMIC_SPECIES
Tc 98.00 Tc.upf
Te 127.60 Te.upf
Cs 132.91 Cs.upf
ATOMIC_POSITIONS angstrom
Tc 2.515 0.000 0.000
Tc 0.000 0.000 2.515
Tc 0.000 2.515 0.000
Te 2.515 2.515 2.515
Cs 0.000 0.000 0.000
CELL_PARAMETERS angstrom
5.030 0.000 0.000
0.000 5.030 0.000
0.000 0.000 5.030
```

Results
Total magnetic moment in Bohr magnetons per cell: 6.2
ΔE_f (raw) in eV/f.u.: 14.80
Space-group type: Pm-3m (221)
VASP energy in eV per atom: -4.058
Volume in Å³ per atom: 25.46

A relaxed Zr6Tl3Pb crystal, computed with GGA-PBE. Values from VASP.

```
&SYSTEM
  ibrav = 0, nat = 20, ntyp = 3
/
ATOMIC_SPECIES
Zr 91.22 Zr.upf
Tl 204.38 Tl.upf
Pb 207.20 Pb.upf
ATOMIC_POSITIONS angstrom
Zr 2.718 -0.687 5.969
Zr 4.778 0.761 7.640
Zr 7.109 -2.833 2.288
Zr 5.733 -5.443 3.771
Zr 7.185 0.378 2.655
Zr 6.135 -3.564 6.006
Zr 2.383 -1.890 0.334
Zr 5.049 -4.281 0.617
Zr 4.094 1.923 4.486
Zr 7.444 -1.630 7.923
Zr 3.692 0.044 2.251
Zr 2.642 -3.897 5.602
Tl 4.425 -2.245 8.098
Tl 8.376 -1.780 4.926
Tl 1.451 -1.740 3.331
Tl 5.402 -1.275 0.159
Tl 2.630 -4.372 2.326
Tl 2.284 2.612 1.802
Pb 0.000 0.000 0.000
Pb 4.914 -1.760 4.128
CELL_PARAMETERS angstrom
-0.887 -4.766 6.675
6.147 -3.978 -2.023
4.567 5.224 3.605
```

Results
Total magnetic moment in Bohr magnetons per cell: 0.0
Space-group type: P2_1/c (14)
VASP energy in eV per atom: -6.109
Formation energy from the elements in meV per atom: 101
Volume in Å³ per atom: 24.43

A relaxed Tb2SmHoTl4 crystal, computed with GGA-PBE. Values from VASP.

```
&SYSTEM
  ibrav = 0, nat = 8, ntyp = 4
/
ATOMIC_SPECIES
Sm 150.36 Sm.upf
Tl 204.38 Tl.upf
Tb 158.93 Tb.upf
Ho 164.93 Ho.upf
ATOMIC_POSITIONS angstrom
Sm 0.000 0.000 0.000
Tl -9.255 -0.495 -3.543
Tl -5.549 0.264 -3.038
Tl -9.280 -3.304 1.022
Tl -5.574 -2.545 1.527
Tb -3.715 -0.767 -0.496
Tb -11.114 -2.273 -1.521
Ho -7.415 -1.520 -1.008
CELL_PARAMETERS angstrom
-4.324 2.891 -1.433
-3.036 -1.574 -4.173
-7.470 -4.358 3.590
```

Results
Total magnetic moment in Bohr magnetons per cell: 0.0
Space-group type: R-3m (166)
VASP energy in eV per atom: -3.853
Formation energy from the elements in meV per atom: -350
Volume in Å³ per atom: 27.82

A relaxed MgSb2O crystal, computed with GGA-PBE. Values from VASP.

```
&SYSTEM
  ibrav = 0, nat = 4, ntyp = 3
/
ATOMIC_SPECIES
Sb 121.76 Sb.upf
Mg 24.30 Mg.upf
O 16.00 O.upf
ATOMIC_POSITIONS angstrom
Sb -1.148 -2.596 -0.787
Sb -3.443 -7.789 -2.362
Mg -2.296 -5.193 -1.574
O 0.000 0.000 0.000
CELL_PARAMETERS angstrom
-2.103 -4.015 1.611
-3.403 -2.155 -2.630
0.915 -4.215 -2.130
```

Results
Total magnetic moment in Bohr magnetons per cell: 0.0
ΔE_f (raw) in eV/f.u.: 0.55
Space-group type: Fm-3m (225)
VASP energy in eV per atom: -3.562
Volume in Å³ per atom: 19.68

A relaxed KCaTa2 crystal, computed with GGA-PBE. Values from VASP.

```
&SYSTEM
  ibrav = 0, nat = 4, ntyp = 3
/
ATOMIC_SPECIES
K 39.10 K.upf
Ta 180.95 Ta.upf
Ca 40.08 Ca.upf
ATOMIC_POSITIONS angstrom
K 27.206 3.365 1.962
Ta 18.367 2.272 1.325
Ta 36.044 4.458 2.600
Ca 9.069 1.122 0.654
CELL_PARAMETERS angstrom
12.339 0.001 0.001
11.968 3.005 0.001
11.968 1.480 2.615
```

Results
Total magnetic moment in Bohr magnetons per cell: 0.0
Space-group type: R-3m (166)
VASP energy in eV per atom: -5.664
Formation energy from the elements in meV per atom: 1037
Volume in Å³ per atom: 24.23

A relaxed Sn2Pd3 crystal, computed with GGA-PBE. Values from VASP.

```
&SYSTEM
  ibrav = 0, nat = 10, ntyp = 2
/
ATOMIC_SPECIES
Sn 118.71 Sn.upf
Pd 106.42 Pd.upf
ATOMIC_POSITIONS angstrom
Sn -3.636 0.141 1.728
Sn 2.593 -2.609 4.632
Sn 0.129 0.063 2.415
Sn -1.172 -2.532 3.946
Pd -0.103 -4.000 0.110
Pd -2.102 0.163 3.961
Pd 2.584 0.032 3.559
Pd -3.628 -2.500 2.801
Pd 1.058 -2.631 2.399
Pd -0.034 -1.333 0.037
CELL_PARAMETERS angstrom
-0.137 -5.334 0.147
5.064 -0.012 4.286
-5.971 2.877 1.927
```

Results
Total magnetic moment in Bohr magnetons per cell: 0.0
Space-group type: Ibam (72)
VASP energy in eV per atom: -5.162
Formation energy from the elements in meV per atom: -445
Volume in Å³ per atom: 19.24

Q: The highest volume belongs to which entry?
A: CeDy5Y6

Q: What is the formula in the fourth record?
A: Zr6Tl3Pb

Q: Number 6 is which compound?
A: MgSb2O

Q: What is the volume in the second record?
A: 31.90 Å³ per atom